# LiAl2Au2 | the Open Quantum Materials Database | PBE | optimized geometry
# E_tot	-35.53	eV for the cell shown
data_LiAl2Au2
_cell_length_a 4.082
_cell_length_b 4.082
_cell_length_c 11.657
_cell_angle_alpha 90.00
_cell_angle_beta 90.00
_cell_angle_gamma 90.00
_symmetry_space_group_name_H-M 'I 4/m m m'
_symmetry_Int_Tables_number 139
_symmetry_space_group_name_Hall '-I 4 2'
loop_
_atom_site_label
_atom_site_type_symbol
_atom_site_fract_x
_atom_site_fract_y
_atom_site_fract_z
Li1 Li 0.000 0.000 0.000
Al1 Al 0.000 0.500 0.250
Au1 Au 0.000 0.000 0.384



# LiAlAu | the Open Quantum Materials Database | PBE | optimized geometry
# E_tot	-19.92	eV for the cell shown
data_LiAlAu
_cell_length_a 4.3430
_cell_length_b 4.3430
_cell_length_c 5.4963
_cell_angle_alpha 90.00
_cell_angle_beta 90.00
_cell_angle_gamma 120.00
_symmetry_space_group_name_H-M 'P 63/m m c'
_symmetry_Int_Tables_number 194
_symmetry_space_group_name_Hall '-P 6c 2c'
loop_
_atom_site_label
_atom_site_type_symbol
_atom_site_fract_x
_atom_site_fract_y
_atom_site_fract_z
Li1 Li 0.3333 0.6667 0.2500
Al1 Al 0.3333 0.6667 0.7500
Au1 Au 0.0000 0.0000 0.0000



# LiAlAu | the Open Quantum Materials Database | PBE | optimized geometry
# E_tot	-31.06	eV for the cell shown
data_LiAlAu
_cell_length_a 6.6800
_cell_length_b 6.6800
_cell_length_c 4.0444
_cell_angle_alpha 90.00
_cell_angle_beta 90.00
_cell_angle_gamma 120.00
_symmetry_space_group_name_H-M 'P -6 2 m'
_symmetry_Int_Tables_number 189
_symmetry_space_group_name_Hall 'P -6 -2'
loop_
_atom_site_label
_atom_site_type_symbol
_atom_site_fract_x
_atom_site_fract_y
_atom_site_fract_z
Li1 Li 0.0000 0.5786 0.0000
Al1 Al 0.0000 0.2492 0.5000
Au1 Au 0.0000 0.0000 0.0000
Au2 Au 0.3333 0.6667 0.5000



# LiAlAu | the Open Quantum Materials Database | PBE | optimized geometry
# E_tot	-30.44	eV for the cell shown
data_LiAlAu
_cell_length_a 7.4944
_cell_length_b 7.4944
_cell_length_c 2.8254
_cell_angle_alpha 90.00
_cell_angle_beta 90.00
_cell_angle_gamma 120.00
_symmetry_space_group_name_H-M 'P -6 2 m'
_symmetry_Int_Tables_number 189
_symmetry_space_group_name_Hall 'P -6 -2'
loop_
_atom_site_label
_atom_site_type_symbol
_atom_site_fract_x
_atom_site_fract_y
_atom_site_fract_z
Li1 Li 0.0000 0.3014 0.0000
Al1 Al 0.0000 0.0000 0.5000
Al2 Al 0.3333 0.6667 0.0000
Au1 Au 0.0000 0.6342 0.5000



# LiAlAu2 | the Open Quantum Materials Database | PBE | optimized geometry
# E_tot	-28.74	eV for the cell shown
data_LiAlAu2
_cell_length_a 6.231
_cell_length_b 6.255
_cell_length_c 3.215
_cell_angle_alpha 90.00
_cell_angle_beta 90.00
_cell_angle_gamma 90.00
_symmetry_space_group_name_H-M 'C m m m'
_symmetry_Int_Tables_number 65
_symmetry_space_group_name_Hall '-C 2 2'
loop_
_atom_site_label
_atom_site_type_symbol
_atom_site_fract_x
_atom_site_fract_y
_atom_site_fract_z
Li1 Li 0.000 0.000 0.000
Al1 Al 0.000 0.500 0.000
Au1 Au 0.250 0.250 0.500



# LiAlAu | the Open Quantum Materials Database | PBE | optimized geometry
# E_tot	-40.17	eV for the cell shown
data_LiAlAu
_cell_length_a 6.042
_cell_length_b 6.042
_cell_length_c 6.042
_cell_angle_alpha 90.00
_cell_angle_beta 90.00
_cell_angle_gamma 90.00
_symmetry_space_group_name_H-M 'F -4 3 m'
_symmetry_Int_Tables_number 216
_symmetry_space_group_name_Hall 'F -4 2 3'
loop_
_atom_site_label
_atom_site_type_symbol
_atom_site_fract_x
_atom_site_fract_y
_atom_site_fract_z
Li1 Li 0.000 0.000 0.000
Al1 Al 0.000 0.000 0.500
Au1 Au 0.250 0.250 0.750



# LiAlAu2 | the Open Quantum Materials Database | PBE | optimized geometry
# E_tot	-54.80	eV for the cell shown
data_LiAlAu2
_cell_length_a 6.388
_cell_length_b 6.388
_cell_length_c 6.388
_cell_angle_alpha 90.00
_cell_angle_beta 90.00
_cell_angle_gamma 90.00
_symmetry_space_group_name_H-M 'F -4 3 m'
_symmetry_Int_Tables_number 216
_symmetry_space_group_name_Hall 'F -4 2 3'
loop_
_atom_site_label
_atom_site_type_symbol
_atom_site_fract_x
_atom_site_fract_y
_atom_site_fract_z
Li1 Li 0.000 0.000 0.000
Al1 Al 0.250 0.250 0.750
Au1 Au 0.000 0.000 0.500
Au2 Au 0.250 0.250 0.250



# LiAlAu2 | the Open Quantum Materials Database | PBE | optimized geometry
# E_tot	-27.13	eV for the cell shown
data_LiAlAu2
_cell_length_a 4.4855
_cell_length_b 4.4855
_cell_length_c 7.8822
_cell_angle_alpha 90.00
_cell_angle_beta 90.00
_cell_angle_gamma 120.00
_symmetry_space_group_name_H-M 'P 63/m m c'
_symmetry_Int_Tables_number 194
_symmetry_space_group_name_Hall '-P 6c 2c'
loop_
_atom_site_label
_atom_site_type_symbol
_atom_site_fract_x
_atom_site_fract_y
_atom_site_fract_z
Li1 Li 0.0000 0.0000 0.2500
Al1 Al 0.3333 0.6667 0.2500
Au1 Au 0.3333 0.6667 0.5791



# Li4Al3Au | the Open Quantum Materials Database | PBE | optimized geometry
# E_tot	-25.09	eV for the cell shown
data_Li4Al3Au
_cell_length_a 4.382
_cell_length_b 4.382
_cell_length_c 6.285
_cell_angle_alpha 90.00
_cell_angle_beta 90.00
_cell_angle_gamma 90.00
_symmetry_space_group_name_H-M 'P -4 m 2'
_symmetry_Int_Tables_number 115
loop_
_symmetry_equiv_pos_as_xyz
'x,y,z'
'y,-x,-z'
'-x,-y,z'
'-y,x,-z'
'-x,y,z'
'-y,-x,-z'
'x,-y,z'
'y,x,-z'
loop_
_atom_site_label
_atom_site_type_symbol
_atom_site_fract_x
_atom_site_fract_y
_atom_site_fract_z
Li1 Li 0.000 0.000 0.000
Li2 Li 0.000 0.500 0.744
Li3 Li 0.500 0.500 0.500
Al1 Al 0.000 0.500 0.260
Al2 Al 0.500 0.500 0.000
Au1 Au 0.000 0.000 0.500



# LiAlAu | the Open Quantum Materials Database | PBE | optimized geometry
# E_tot	-21.10	eV for the cell shown
data_LiAlAu
_cell_length_a 4.4827
_cell_length_b 4.4827
_cell_length_c 5.5024
_cell_angle_alpha 90.00
_cell_angle_beta 90.00
_cell_angle_gamma 120.00
_symmetry_space_group_name_H-M 'P 63/m m c'
_symmetry_Int_Tables_number 194
_symmetry_space_group_name_Hall '-P 6c 2c'
loop_
_atom_site_label
_atom_site_type_symbol
_atom_site_fract_x
_atom_site_fract_y
_atom_site_fract_z
Li1 Li 0.0000 0.0000 0.0000
Al1 Al 0.3333 0.6667 0.2500
Au1 Au 0.3333 0.6667 0.7500



# LiAlAu2 | the Open Quantum Materials Database | PBE | optimized geometry
# E_tot	-14.37	eV for the cell shown
data_LiAlAu2
_cell_length_a 4.403
_cell_length_b 4.403
_cell_length_c 3.228
_cell_angle_alpha 90.00
_cell_angle_beta 90.00
_cell_angle_gamma 90.00
_symmetry_space_group_name_H-M 'P 4/m m m'
_symmetry_Int_Tables_number 123
_symmetry_space_group_name_Hall '-P 4 2'
loop_
_atom_site_label
_atom_site_type_symbol
_atom_site_fract_x
_atom_site_fract_y
_atom_site_fract_z
Li1 Li 0.000 0.000 0.000
Al1 Al 0.500 0.500 0.000
Au1 Au 0.000 0.500 0.500



# LiAlAu | the Open Quantum Materials Database | PBE | optimized geometry
# E_tot	-42.17	eV for the cell shown
data_LiAlAu
_cell_length_a 5.484
_cell_length_b 4.462
_cell_length_c 7.791
_cell_angle_alpha 90.00
_cell_angle_beta 90.00
_cell_angle_gamma 90.00
_symmetry_space_group_name_H-M 'P n m a'
_symmetry_Int_Tables_number 62
loop_
_symmetry_equiv_pos_as_xyz
'x,y,z'
'-x,-y,-z'
'-x+1/2,-y,z+1/2'
'x+1/2,y,-z+1/2'
'x+1/2,-y+1/2,-z+1/2'
'-x+1/2,y+1/2,z+1/2'
'-x,y+1/2,-z'
'x,-y+1/2,z'
loop_
_atom_site_label
_atom_site_type_symbol
_atom_site_fract_x
_atom_site_fract_y
_atom_site_fract_z
Li1 Li 0.005 0.250 0.247
Al1 Al 0.238 0.250 0.583
Au1 Au 0.242 0.250 0.916